# PaGeOs

Crystalline PaGeOs at its relaxed geometry (PBE, OQMD).

Output
Total energy   -7.967 eV per atom

Cell and atoms, written as extended XYZ:
```
3
Lattice="0.0000 3.2679 3.2679 3.2679 0.0000 3.2679 3.2679 3.2679 0.0000" Properties=species:S:1:pos:R:3 pbc="T T T"
Os 4.9019 4.9019 4.9019
Ge 1.6340 1.6340 1.6340
Pa 0.0000 0.0000 0.0000
```

***

# GeOsPb

Crystalline GeOsPb at its relaxed geometry (PBE, OQMD).

Output
Total energy   -5.936 eV per atom

Cell and atoms, written as extended XYZ:
```
3
Lattice="0.0000 3.1740 3.1740 3.1740 0.0000 3.1740 3.1740 3.1740 0.0000" Properties=species:S:1:pos:R:3 pbc="T T T"
Os 0.0000 0.0000 0.0000
Ge 1.5870 1.5870 1.5870
Pb 4.7609 4.7609 4.7609
```

***

# GeOsPd

Crystalline GeOsPd at its relaxed geometry (PBE, OQMD).

Output
Total energy   -6.854 eV per atom

Cell and atoms, written as extended XYZ:
```
3
Lattice="0.4887 -3.8582 -1.3362 -2.5603 -1.5366 -2.8273 1.3397 -0.6971 -3.8248" Properties=species:S:1:pos:R:3 pbc="T T T"
Pd -0.5489 -4.5689 -5.9911
Os -0.1830 -1.5230 -1.9971
Ge 0.0000 0.0000 0.0000
```

***

# GeOsPd2

Crystalline GeOsPd2 at its relaxed geometry (PBE, OQMD).

Output
Total energy   -6.442 eV per atom

Cell and atoms, written as extended XYZ:
```
4
Lattice="3.5116 -2.3876 1.1003 0.1304 -4.2790 -0.9571 2.7171 -1.4690 -3.1149" Properties=species:S:1:pos:R:3 pbc="T T T"
Pd 0.0000 0.0000 0.0000
Pd 4.7693 -6.1017 -2.2287
Ge 3.1796 -4.0678 -1.4858
Os 1.5898 -2.0339 -0.7429
```

***

# Pm2Ge5Os3

Crystalline Pm2Ge5Os3 at its relaxed geometry (PBE, OQMD).

Output
Total energy   -7.088 eV per atom

Cell and atoms, written as extended XYZ:
```
20
Lattice="3.6272 0.3615 7.7060 -5.1600 4.6470 -4.9446 -4.4738 -6.5689 3.0828" Properties=species:S:1:pos:R:3 pbc="T T T"
Ge -3.8528 2.4246 -0.1880
Ge -5.3781 -1.0135 2.0272
Ge -0.3832 1.2521 0.6903
Ge -3.2368 -1.1817 0.3467
Ge -0.9845 -3.1563 8.3525
Ge -5.0221 1.5959 -2.5083
Ge -2.1538 -3.9849 6.0322
Ge -0.6286 -0.5468 3.8170
Ge -2.7699 -0.3786 5.4975
Ge -1.1496 3.7564 2.0710
Pm 1.5189 0.7763 5.7834
Pm -7.5255 -2.3367 0.0608
Pm -3.1089 1.2016 2.4432
Pm -2.8977 -2.7619 3.4010
Os -4.9527 -0.4621 4.4372
Os -6.0452 -3.3372 2.6972
Os -1.0540 -1.0983 1.4070
Os -0.8065 -1.8515 6.0848
Os 0.0385 1.7768 3.1470
Os -5.2001 0.2912 -0.2406
```

***

# PmGeOs

Crystalline PmGeOs at its relaxed geometry (PBE, OQMD).

Output
Energy above the most stable polymorph in this dataset   0.00 eV per formula unit
Total energy   -6.812 eV per atom

Cell and atoms, written as extended XYZ:
```
3
Lattice="-0.0138 2.4927 3.8292 -2.3337 -1.4398 3.6548 2.2350 -1.4826 3.6992" Properties=species:S:1:pos:R:3 pbc="T T T"
Ge -0.0281 -0.1074 2.7958
Pm -0.0844 -0.3222 8.3874
Os 0.0000 0.0000 0.0000
```

***

# Pr2Ge5Os3

Crystalline Pr2Ge5Os3 at its relaxed geometry (PBE, OQMD).

Output
Total energy   -7.080 eV per atom

Cell and atoms, written as extended XYZ:
```
20
Lattice="-5.0288 6.2612 2.9864 5.0288 -6.2612 2.9864 5.0288 6.2612 -2.9864" Properties=species:S:1:pos:R:3 pbc="T T T"
Os 0.0000 6.2612 1.4932
Os 4.0613 4.4227 2.9864
Os -0.9675 1.8385 2.9863
Os 0.9675 1.8385 0.0000
Os 5.0288 0.0000 1.4932
Os 5.9962 4.4227 0.0000
Pr 2.3274 1.7165 2.9863
Pr 2.7014 4.5447 0.0000
Pr 7.7301 1.7165 0.0000
Pr -2.7014 4.5447 2.9863
Ge 5.0288 2.6376 1.4932
Ge 0.0000 3.6236 1.4932
Ge 5.0288 -2.6376 1.4932
Ge 0.0000 0.0000 1.4932
Ge 1.7187 5.1321 2.9863
Ge 3.3100 -1.1291 2.9863
Ge 1.7187 7.3903 0.0000
Ge 0.0000 0.0000 4.4795
Ge 0.0000 8.8988 1.4932
Ge 3.3100 1.1291 0.0000
```

***

# PrGeOs

Crystalline PrGeOs at its relaxed geometry (PBE, OQMD).

Output
Total energy   -6.755 eV per atom

Cell and atoms, written as extended XYZ:
```
3
Lattice="3.0183 1.7912 2.9956 0.0956 4.5545 0.7342 -1.4810 1.7209 4.0171" Properties=species:S:1:pos:R:3 pbc="T T T"
Pr 1.2247 6.0500 5.8102
Os 0.0000 0.0000 0.0000
Ge 0.4082 2.0166 1.9367
```

***

# PrSiGe2Os

Crystalline PrSiGe2Os at its relaxed geometry (PBE, OQMD).

Output
Total energy   -6.634 eV per atom

Cell and atoms, written as extended XYZ:
```
5
Lattice="-2.2066 2.2066 5.0297 2.2066 -2.2066 5.0297 2.2066 2.2066 -5.0297" Properties=species:S:1:pos:R:3 pbc="T T T"
Si 0.0000 0.0000 5.8070
Os 0.0000 0.0000 3.5109
Ge 0.0000 2.2066 2.4208
Ge 2.2066 0.0000 2.4208
Pr 0.0000 0.0000 0.0294
```

***

# GeOsPt

Crystalline GeOsPt at its relaxed geometry (PBE, OQMD).

Output
Total energy   -7.151 eV per atom

Cell and atoms, written as extended XYZ:
```
3
Lattice="0.1705 2.2931 3.4190 2.1254 3.5298 0.0093 -1.9913 3.6033 0.1653" Properties=species:S:1:pos:R:3 pbc="T T T"
Pt 0.2284 7.0696 2.6952
Ge 0.0000 0.0000 0.0000
Os 0.0761 2.3565 0.8984
```

***

# GeOsPt2

Crystalline GeOsPt2 at its relaxed geometry (PBE, OQMD).

Output
Total energy   -6.755 eV per atom

Cell and atoms, written as extended XYZ:
```
4
Lattice="1.7932 -4.0440 -0.2866 -2.5764 -3.5941 0.3102 -0.7470 -2.5073 -3.5787" Properties=species:S:1:pos:R:3 pbc="T T T"
Pt -1.1476 -7.6091 -2.6663
Pt 0.0000 0.0000 0.0000
Ge -0.7651 -5.0727 -1.7776
Os -0.3825 -2.5364 -0.8888
```

***

# Sc3Ge3OsPt2

Crystalline Sc3Ge3OsPt2 at its relaxed geometry (PBE, OQMD).

Output
Total energy   -7.140 eV per atom

Cell and atoms, written as extended XYZ:
```
9
Lattice="3.9183 0.0000 0.0000 0.0000 5.8063 3.3592 0.0000 -5.8063 3.3592" Properties=species:S:1:pos:R:3 pbc="T T T"
Ge 0.0000 -1.9091 3.3586
Ge 1.9591 0.0000 0.0198
Ge 0.0000 1.9091 3.3586
Sc 1.9591 -2.3953 1.4212
Sc 1.9591 0.0000 3.8690
Sc 1.9591 2.3953 1.4212
Os 0.0000 0.0000 1.6365
Pt 0.0000 -4.3422 2.5350
Pt 0.0000 4.3422 2.5350
```